1.
Material: Ti4Nb2Fe
Method: DFT, PBE
State: optimized geometry

a b c (Å): 7.4498 7.4498 7.4498
angles (deg): 146.05 146.05 48.77
Last column: nearest neighbours and their distance in Å.
Fractional coordinates of all 7 atoms:
Ti1 0.0000 0.5000 0.5000  2 Fe 2.17
Ti2 0.1786 0.1786 0.0000  1 Fe 2.42, 1 Nb 2.57
Ti3 0.5000 0.0000 0.5000  2 Fe 2.17
Ti4 0.8214 0.8214 0.0000  1 Fe 2.42, 1 Nb 2.57
Nb1 0.3680 0.3680 0.0000  5 Ti 2.57-2.82
Nb2 0.6320 0.6320 0.0000  5 Ti 2.57-2.82
Fe1 0.0000 0.0000 0.0000  6 Ti 2.17-2.42

Output
Magnetic moment (Bohr magnetons per cell): 0.00
Space-group type: I4/mmm (139)
Formation energy from the elements (eV/atom): 0.5814


2.
Material: NdDy8Tm2
Method: DFT, PBE
State: optimized geometry

a b c (Å): 10.1650 10.1650 5.5148
angles (deg): 92.70 92.70 39.68
Last column: nearest neighbours and their distance in Å.
Fractional coordinates of all 11 atoms:
Nd1 0.0000 0.0000 0.0000  10 Dy 3.54-3.78
Dy1 0.1322 0.5989 0.2679  4 Dy 3.22-3.52, 3 Tm 3.41-3.57, 1 Nd 3.54
Dy2 0.1890 0.1890 0.2331  4 Tm 3.30-3.49, 4 Dy 3.44-3.51
Dy3 0.4011 0.8678 0.7321  4 Dy 3.22-3.52, 3 Tm 3.41-3.57, 1 Nd 3.54
Dy4 0.4530 0.4530 0.7621  1 Dy 3.10, 1 Tm 3.22
Dy5 0.5470 0.5470 0.2379  1 Dy 3.10, 1 Tm 3.22
Dy6 0.5989 0.1322 0.2679  4 Dy 3.22-3.52, 3 Tm 3.41-3.57, 1 Nd 3.54
Dy7 0.8110 0.8110 0.7669  4 Tm 3.30-3.49, 4 Dy 3.44-3.51
Dy8 0.8678 0.4011 0.7321  4 Dy 3.22-3.52, 3 Tm 3.41-3.57, 1 Nd 3.54
Tm1 0.2845 0.2845 0.7492  11 Dy 3.22-3.57
Tm2 0.7155 0.7155 0.2508  11 Dy 3.22-3.57

Output
Magnetic moment (Bohr magnetons per cell): 0.00
Space-group type: C2/m (12)
E above lowest polymorph (eV/f.u.): 0.35
Formation energy from the elements (eV/atom): 0.1479


3.
Material: SmZn5CdPd2
Method: DFT, PBE
State: optimized geometry

a b c (Å): 4.8017 4.8017 7.5306
angles (deg): 90.00 90.00 90.00
Last column: nearest neighbours and their distance in Å.
Fractional coordinates of all 9 atoms:
Sm1 0.0000 0.0000 0.0000  12 Zn 3.11-3.40
Zn1 0.0000 0.5000 0.2631  2 Pd 2.45
Zn2 0.0000 0.5000 0.7369  2 Pd 2.45
Zn3 0.5000 0.0000 0.2631  2 Pd 2.45
Zn4 0.5000 0.0000 0.7369  2 Pd 2.45
Zn5 0.5000 0.5000 0.0000  2 Pd 2.45
Cd1 0.0000 0.0000 0.5000  8 Zn 2.99
Pd1 0.5000 0.5000 0.3252  5 Zn 2.45, 1 Pd 2.63
Pd2 0.5000 0.5000 0.6748  5 Zn 2.45, 1 Pd 2.63

Output
Magnetic moment (Bohr magnetons per cell): 0.00
Space-group type: P4/mmm (123)
Formation energy from the elements (eV/atom): -0.1924


4.
Material: Ti2HPt2
Method: DFT, PBE
State: optimized geometry

a b c (Å): 7.3452 7.3452 2.9837
angles (deg): 90.00 90.00 90.00
Last column: nearest neighbours and their distance in Å.
Fractional coordinates of all 10 atoms:
Ti1 0.1634 0.3366 0.0000  6 Pt 2.56-2.66
Ti2 0.3366 0.8366 0.0000  6 Pt 2.56-2.66
Ti3 0.6634 0.1634 0.0000  6 Pt 2.56-2.66
Ti4 0.8366 0.6634 0.0000  6 Pt 2.56-2.66
H1 0.0000 0.0000 0.5000  4 Pt 2.85, 2 H 2.98, 8 Ti 3.13
H2 0.5000 0.5000 0.5000  4 Pt 2.85, 2 H 2.98, 8 Ti 3.13
Pt1 0.1359 0.6359 0.5000  6 Ti 2.56-2.66, 1 Pt 2.82, 2 H 2.85
Pt2 0.3641 0.1359 0.5000  6 Ti 2.56-2.66, 1 Pt 2.82, 2 H 2.85
Pt3 0.6359 0.8641 0.5000  6 Ti 2.56-2.66, 1 Pt 2.82, 2 H 2.85
Pt4 0.8641 0.3641 0.5000  6 Ti 2.56-2.66, 1 Pt 2.82, 2 H 2.85

Output
Magnetic moment (Bohr magnetons per cell): 0.00
Space-group type: P4/mbm (127)
E above lowest polymorph (eV/f.u.): 1.33


5.
Material: TcP2Au
Method: DFT, PBE
State: optimized geometry

a b c (Å): 2.7775 2.7775 10.3394
angles (deg): 90.00 90.00 117.21
Last column: nearest neighbours and their distance in Å.
Fractional coordinates of all 4 atoms:
Tc1 0.0000 0.0000 0.0000  4 P 2.42
P1 0.5000 0.5000 0.1882  2 Tc 2.42
P2 0.5000 0.5000 0.8118  2 Tc 2.42
Au1 0.0000 0.0000 0.5000  6 Au 2.78-2.89

Output
Magnetic moment (Bohr magnetons per cell): 0.00
Space-group type: Cmmm (65)
E above lowest polymorph (eV/f.u.): 1.72
Formation energy from the elements (eV/atom): 0.2769


6.
Material: Er6Tl5Sb
Method: DFT, PBE
State: optimized geometry

a b c (Å): 8.1990 8.1990 8.0152
angles (deg): 90.07 90.07 143.36
Last column: nearest neighbours and their distance in Å.
Fractional coordinates of all 12 atoms:
Er1 0.9998 0.9998 0.2420  2 Sb 3.22-3.23, 6 Tl 3.30-3.35
Er2 0.0002 0.0002 0.7580  2 Sb 3.22-3.23, 6 Tl 3.30-3.35
Er3 0.3368 0.6621 0.2518  7 Tl 3.22-3.32, 1 Sb 3.24
Er4 0.3379 0.6632 0.7482  7 Tl 3.22-3.32, 1 Sb 3.24
Er5 0.6621 0.3368 0.2518  7 Tl 3.22-3.32, 1 Sb 3.24
Er6 0.6632 0.3379 0.7482  7 Tl 3.22-3.32, 1 Sb 3.24
Tl1 0.1665 0.8335 0.5000  8 Er 3.25-3.32
Tl2 0.1754 0.8246 0.0000  8 Er 3.23-3.35, 2 Tl 3.47
Tl3 0.5000 0.5000 0.5000  8 Er 3.22-3.31
Tl4 0.8246 0.1754 0.0000  8 Er 3.23-3.35, 2 Tl 3.47
Tl5 0.8335 0.1665 0.5000  8 Er 3.25-3.32
Sb1 0.5000 0.5000 0.0000  8 Er 3.22-3.24

Output
Magnetic moment (Bohr magnetons per cell): 0.00
Space-group type: C2/m (12)
Formation energy without anion corrections (eV per atom): -0.3794


7.
Material: Th5Pb3C
Method: DFT, PBE
State: optimized geometry

a b c (Å): 9.5205 9.5205 6.5534
angles (deg): 90.00 90.00 120.00
Last column: nearest neighbours and their distance in Å.
Fractional coordinates of all 18 atoms:
Th1 0.0000 0.2181 0.2500  2 C 2.64
Th2 0.0000 0.7819 0.7500  2 C 2.64
Th3 0.2181 0.0000 0.2500  2 C 2.64
Th4 0.2181 0.2181 0.7500  2 C 2.64
Th5 0.3333 0.6667 0.0000  2 Th 3.28, 6 Pb 3.34
Th6 0.3333 0.6667 0.5000  2 Th 3.28, 6 Pb 3.34
Th7 0.6667 0.3333 0.0000  2 Th 3.28, 6 Pb 3.34
Th8 0.6667 0.3333 0.5000  2 Th 3.28, 6 Pb 3.34
Th9 0.7819 0.0000 0.7500  2 C 2.64
Th10 0.7819 0.7819 0.2500  2 C 2.64
Pb1 0.0000 0.3993 0.7500  7 Th 3.30-3.64
Pb2 0.0000 0.6007 0.2500  7 Th 3.30-3.64
Pb3 0.3993 0.0000 0.7500  7 Th 3.30-3.64
Pb4 0.3993 0.3993 0.2500  7 Th 3.30-3.64
Pb5 0.6007 0.0000 0.2500  7 Th 3.30-3.64
Pb6 0.6007 0.6007 0.7500  7 Th 3.30-3.64
C1 0.0000 0.0000 0.0000  6 Th 2.64
C2 0.0000 0.0000 0.5000  6 Th 2.64

Output
Magnetic moment (Bohr magnetons per cell): 0.00
Space-group type: P6_3/mcm (193)
Formation energy from the elements (eV/atom): -0.4005


8.
Material: Ca3LaOs
Method: DFT, PBE
State: optimized geometry

a b c (Å): 5.5661 5.5661 5.5661
angles (deg): 90.00 90.00 90.00
Last column: nearest neighbours and their distance in Å.
Fractional coordinates of all 5 atoms:
Ca1 0.0000 0.0000 0.5000  2 Os 2.78
Ca2 0.0000 0.5000 0.0000  2 Os 2.78
Ca3 0.5000 0.0000 0.0000  2 Os 2.78
La1 0.5000 0.5000 0.5000  12 Ca 3.94
Os1 0.0000 0.0000 0.0000  6 Ca 2.78

Output
Magnetic moment (Bohr magnetons per cell): 0.00
Space-group type: Pm-3m (221)
E above lowest polymorph (eV/f.u.): 0.00
Formation energy from the elements (eV/atom): 0.4240


9.
Material: CsTi
Method: DFT, PBE
State: optimized geometry

a b c (Å): 8.0513 8.0513 7.6631
angles (deg): 90.00 90.00 90.00
Last column: nearest neighbours and their distance in Å.
Fractional coordinates of all 8 atoms:
Cs1 0.1714 0.1714 0.0000  4 Ti 3.88-3.94, 1 Cs 3.90
Cs2 0.3286 0.6714 0.5000  4 Ti 3.88-3.94, 1 Cs 3.90
Cs3 0.6714 0.3286 0.5000  4 Ti 3.88-3.94, 1 Cs 3.90
Cs4 0.8286 0.8286 0.0000  4 Ti 3.88-3.94, 1 Cs 3.90
Ti1 0.0889 0.0889 0.5000  1 Ti 2.02
Ti2 0.4111 0.5889 0.0000  1 Ti 2.02
Ti3 0.5889 0.4111 0.0000  1 Ti 2.02
Ti4 0.9111 0.9111 0.5000  1 Ti 2.02

Output
Magnetic moment (Bohr magnetons per cell): 6.50
Space-group type: P4_2/mnm (136)
E above lowest polymorph (eV/f.u.): 1.25
Formation energy from the elements (eV/atom): 1.4767


10.
Material: LiMgPaS4
Method: DFT, PBE
State: optimized geometry

a b c (Å): 7.6452 7.6452 7.6452
angles (deg): 120.80 115.53 93.27
Last column: nearest neighbours and their distance in Å.
Fractional coordinates of all 14 atoms:
Li1 0.4018 0.1518 0.2500  4 S 2.51-2.54
Li2 0.5982 0.8482 0.7500  4 S 2.51-2.54
Mg1 0.0000 0.0000 0.5000  6 S 2.61-2.69
Mg2 0.0000 0.5000 0.0000  6 S 2.61-2.69
Pa1 0.0000 0.5000 0.5000  6 S 2.59-2.69
Pa2 0.5000 0.5000 0.0000  6 S 2.59-2.69
S1 0.2174 0.7461 0.4712  1 Li 2.51, 1 Pa 2.59, 2 Mg 2.61
S2 0.2251 0.2539 0.9712  1 Li 2.51, 1 Pa 2.59, 2 Mg 2.61
S3 0.2556 0.2738 0.5182  1 Li 2.54, 1 Mg 2.69, 2 Pa 2.69
S4 0.2556 0.7374 0.9818  1 Li 2.54, 1 Mg 2.69, 2 Pa 2.69
S5 0.7444 0.2626 0.0182  1 Li 2.54, 1 Mg 2.69, 2 Pa 2.69
S6 0.7444 0.7262 0.4818  1 Li 2.54, 1 Mg 2.69, 2 Pa 2.69
S7 0.7749 0.7461 0.0288  1 Li 2.51, 1 Pa 2.59, 2 Mg 2.61
S8 0.7826 0.2539 0.5288  1 Li 2.51, 1 Pa 2.59, 2 Mg 2.61

Output
Magnetic moment (Bohr magnetons per cell): 0.00
Space-group type: Imma (74)
Formation energy without anion corrections (eV per atom): -1.4810


Question: What is the magnetic moment in the sixth record?
Answer: 0.00 Bohr magnetons per cell


Question: What is the formula in the fifth record?
Answer: TcP2Au


Question: Which of these has the highest magnetic moment?
Answer: CsTi


Question: What is the formula in the eighth record?
Answer: Ca3LaOs